(1)
Nd2Er2Cd15: optimized geometry, GGA-PBE.

The calculated volume comes out at 24.51 Å³/atom. Its formation energy is -258 kJ/mol of formula units. The calculation puts the density of states at the Fermi level at 10.3 states/eV/cell. The value obtained for the energy is -1.8456 eV/atom. For the total moment, the calculation gives 0.0 μB/cell.

a b c (Å): 7.8679 7.8679 7.8679
angles (deg): 79.59 79.59 79.59
Fractional coordinates of all 19 atoms:
Nd: 0.1731 0.1731 0.1731
Nd: 0.8269 0.8269 0.8269
Er: 0.4014 0.4014 0.4014
Er: 0.5986 0.5986 0.5986
Cd: 0.0000 0.5000 0.5000
Cd: 0.1296 0.1296 0.6505
Cd: 0.1296 0.6505 0.1296
Cd: 0.2076 0.5000 0.7924
Cd: 0.2076 0.7924 0.5000
Cd: 0.3495 0.8704 0.8704
Cd: 0.5000 0.0000 0.5000
Cd: 0.5000 0.2076 0.7924
Cd: 0.5000 0.5000 0.0000
Cd: 0.5000 0.7924 0.2076
Cd: 0.6505 0.1296 0.1296
Cd: 0.7924 0.2076 0.5000
Cd: 0.7924 0.5000 0.2076
Cd: 0.8704 0.3495 0.8704
Cd: 0.8704 0.8704 0.3495

---

(2)
UZnGa6: optimized geometry, GGA-PBE.

The calculated volume comes out at 18.86 Å³/atom. Its formation energy is -53 kJ/mol of formula units. The calculation puts the density of states at the Fermi level at 5.8 states/eV/cell. The value obtained for the energy is -3.9094 eV/atom. For the total moment, the calculation gives 2.4 μB/cell.

a b c (Å): 6.0845 6.0845 4.3788
angles (deg): 90.00 90.00 111.43
Fractional coordinates of all 8 atoms:
U: 0.0000 0.0000 0.0000
Zn: 0.5000 0.5000 0.0000
Ga: 0.0000 0.5000 0.0000
Ga: 0.2070 0.7930 0.5000
Ga: 0.2998 0.2998 0.5000
Ga: 0.5000 0.0000 0.0000
Ga: 0.7002 0.7002 0.5000
Ga: 0.7930 0.2070 0.5000

---

(3)
ZnTe2: optimized geometry, GGA-PBE.

The calculated volume comes out at 27.16 Å³/atom. The calculation puts the density of states at the Fermi level at 4.2 states/eV/cell. The value obtained for the energy is -2.5400 eV/atom. For the total moment, the calculation gives 0.0 μB/cell.

a b c (Å): 4.1067 4.1067 11.1567
angles (deg): 90.00 90.00 120.00
Fractional coordinates of all 6 atoms:
Zn: 0.0000 0.0000 0.2500
Zn: 0.0000 0.0000 0.7500
Te: 0.3333 0.6667 0.1057
Te: 0.3333 0.6667 0.3943
Te: 0.6667 0.3333 0.6057
Te: 0.6667 0.3333 0.8943

---

(4)
Cd2Cu3Au8: optimized geometry, GGA-PBE.

The calculated volume comes out at 19.30 Å³/atom. Its formation energy is -31 kJ/mol of formula units. The calculation puts the density of states at the Fermi level at 4.2 states/eV/cell. The energy above the lowest structure with this stoichiometry is 0 meV per atom. The value obtained for the energy is -3.1277 eV/atom. For the total moment, the calculation gives 0.0 μB/cell.

a b c (Å): 8.1170 3.8932 8.9081
angles (deg): 90.00 116.99 90.00
Fractional coordinates of all 13 atoms:
Cd: 0.2462 0.0000 0.4933
Cd: 0.7538 0.0000 0.5067
Cu: 0.2569 0.5000 0.0001
Cu: 0.5000 0.0000 0.0000
Cu: 0.7431 0.5000 0.9999
Au: 0.1074 0.5000 0.2154
Au: 0.1317 0.0000 0.7674
Au: 0.3637 0.0000 0.2328
Au: 0.3813 0.5000 0.7627
Au: 0.6187 0.5000 0.2373
Au: 0.6363 0.0000 0.7672
Au: 0.8683 0.0000 0.2326
Au: 0.8926 0.5000 0.7846

---

(5)
Na3Tl4Pd8: optimized geometry, GGA-PBE.

The calculated volume comes out at 19.90 Å³/atom. Its formation energy is -278 kJ/mol of formula units. The calculation puts the density of states at the Fermi level at 18.1 states/eV/cell. The value obtained for the energy is -3.8564 eV/atom. For the total moment, the calculation gives 0.0 μB/cell.

a b c (Å): 9.4518 9.4518 9.4518
angles (deg): 60.00 60.00 60.00
Fractional coordinates of all 30 atoms:
Na: 0.2308 0.2308 0.7692
Na: 0.2308 0.7692 0.2308
Na: 0.2308 0.7692 0.7692
Na: 0.7692 0.2308 0.2308
Na: 0.7692 0.2308 0.7692
Na: 0.7692 0.7692 0.2308
Tl: 0.0000 0.0000 0.0000
Tl: 0.0000 0.0000 0.5000
Tl: 0.0000 0.5000 0.0000
Tl: 0.0000 0.5000 0.5000
Tl: 0.5000 0.0000 0.0000
Tl: 0.5000 0.0000 0.5000
Tl: 0.5000 0.5000 0.0000
Tl: 0.5000 0.5000 0.5000
Pd: 0.1370 0.6210 0.6210
Pd: 0.1732 0.1732 0.1732
Pd: 0.1732 0.1732 0.4804
Pd: 0.1732 0.4804 0.1732
Pd: 0.3790 0.3790 0.3790
Pd: 0.3790 0.3790 0.8630
Pd: 0.3790 0.8630 0.3790
Pd: 0.4804 0.1732 0.1732
Pd: 0.5196 0.8268 0.8268
Pd: 0.6210 0.1370 0.6210
Pd: 0.6210 0.6210 0.1370
Pd: 0.6210 0.6210 0.6210
Pd: 0.8268 0.5196 0.8268
Pd: 0.8268 0.8268 0.5196
Pd: 0.8268 0.8268 0.8268
Pd: 0.8630 0.3790 0.3790

---

(6)
LiCdBiAu: optimized geometry, GGA-PBE.

The calculated volume comes out at 21.84 Å³/atom. Its formation energy is -64 kJ/mol of formula units. The calculation puts the density of states at the Fermi level at 3.0 states/eV/cell. The energy above the lowest structure with this stoichiometry is 55 meV per atom. The value obtained for the energy is -2.6637 eV/atom. For the total moment, the calculation gives 0.0 μB/cell.

a b c (Å): 4.9806 4.9806 4.9806
angles (deg): 60.00 60.00 60.00
Fractional coordinates of all 4 atoms:
Li: 0.0000 0.0000 0.0000
Cd: 0.5000 0.5000 0.5000
Bi: 0.7500 0.7500 0.7500
Au: 0.2500 0.2500 0.2500